[1]
! Tb6IrPd2 | Alexandria via LeMat-Bulk | PBE | relaxed; values from VASP
&SYSTEM
  ibrav = 0, nat = 18, ntyp = 3
/
ATOMIC_SPECIES
Tb 158.93 Tb.upf
Ir 192.22 Ir.upf
Pd 106.42 Pd.upf
CELL_PARAMETERS angstrom
-1.478 -0.189 -8.243
-1.769 -7.479 3.333
-4.820 5.818 3.620
ATOMIC_POSITIONS crystal
Tb 0.571 0.742 0.829
Tb 0.429 0.258 0.171
Tb 0.087 0.258 0.829
Tb 0.913 0.742 0.171
Tb 0.816 0.740 0.557
Tb 0.184 0.260 0.443
Tb 0.184 0.740 0.924
Tb 0.816 0.260 0.076
Tb 0.707 0.374 0.668
Tb 0.293 0.626 0.332
Tb 0.293 0.961 0.668
Tb 0.707 0.039 0.332
Ir 0.000 0.500 0.500
Ir 0.000 0.000 0.000
Pd 0.500 0.366 0.866
Pd 0.500 0.634 0.134
Pd 0.657 0.000 0.657
Pd 0.343 0.000 0.343
! Crystal system: orthorhombic
! Space group: No. 71
! Relative energy among the computed polymorphs, kJ per mole of atoms: 0.61
! E_form, eV/f.u.: -5.3
! E_tot, eV per atom: -5.8173
! Magnetization, μB/f.u.: 0.00

[2]
! Tb5IrPd4 | Alexandria via LeMat-Bulk | PBE | relaxed; values from VASP
&SYSTEM
  ibrav = 0, nat = 10, ntyp = 3
/
ATOMIC_SPECIES
Tb 158.93 Tb.upf
Ir 192.22 Ir.upf
Pd 106.42 Pd.upf
CELL_PARAMETERS angstrom
-1.261 2.362 -2.220
-2.866 0.300 1.947
7.780 13.029 9.443
ATOMIC_POSITIONS crystal
Tb 0.500 0.500 0.093
Tb 0.500 0.500 0.298
Tb 0.500 0.500 0.500
Tb 0.500 0.500 0.702
Tb 0.500 0.500 0.907
Ir 0.000 0.000 0.000
Pd 0.000 0.000 0.200
Pd 0.000 0.000 0.399
Pd 0.000 0.000 0.601
Pd 0.000 0.000 0.800
! Crystal system: tetragonal
! Space group: No. 123
! E_form, eV/f.u.: -8.6
! E_tot, eV per atom: -6.1404
! Magnetization, μB/f.u.: 0.00

[3]
! Tb4IrPd2 | Alexandria via LeMat-Bulk | PBE | relaxed; values from VASP
&SYSTEM
  ibrav = 0, nat = 7, ntyp = 3
/
ATOMIC_SPECIES
Tb 158.93 Tb.upf
Ir 192.22 Ir.upf
Pd 106.42 Pd.upf
CELL_PARAMETERS angstrom
-3.560 0.808 3.285
0.382 -1.840 4.537
2.702 6.398 5.026
ATOMIC_POSITIONS crystal
Tb 0.878 0.878 0.367
Tb 0.122 0.122 0.633
Tb 0.627 0.627 0.119
Tb 0.373 0.373 0.881
Ir 0.000 0.000 0.000
Pd 0.752 0.752 0.745
Pd 0.248 0.248 0.255
! Crystal system: trigonal
! Space group: No. 166
! Relative energy among the computed polymorphs, kJ per mole of atoms: 3.49
! E_form, eV/f.u.: -5.1
! E_tot, eV per atom: -6.1276
! Magnetization, μB/f.u.: 0.00

[4]
! Tb5Ir4Pd | Alexandria via LeMat-Bulk | PBE | relaxed; values from VASP
&SYSTEM
  ibrav = 0, nat = 10, ntyp = 3
/
ATOMIC_SPECIES
Tb 158.93 Tb.upf
Ir 192.22 Ir.upf
Pd 106.42 Pd.upf
CELL_PARAMETERS angstrom
-1.639 -1.369 -2.677
1.339 -3.062 0.747
-13.893 -3.560 10.325
ATOMIC_POSITIONS crystal
Tb 0.500 0.500 0.105
Tb 0.500 0.500 0.302
Tb 0.500 0.500 0.500
Tb 0.500 0.500 0.698
Tb 0.500 0.500 0.895
Ir 0.000 0.000 0.201
Ir 0.000 0.000 0.401
Ir 0.000 0.000 0.599
Ir 0.000 0.000 0.799
Pd 0.000 0.000 0.000
! Crystal system: tetragonal
! Space group: No. 123
! E_form, eV/f.u.: -8.0
! E_tot, eV per atom: -7.1833
! Magnetization, μB/f.u.: 0.12

[5]
! Tb8Ir2Pd | Alexandria via LeMat-Bulk | PBE | relaxed; values from VASP
&SYSTEM
  ibrav = 0, nat = 11, ntyp = 3
/
ATOMIC_SPECIES
Tb 158.93 Tb.upf
Ir 192.22 Ir.upf
Pd 106.42 Pd.upf
CELL_PARAMETERS angstrom
-5.485 2.357 0.109
0.911 -0.730 -7.467
-1.411 -6.634 3.336
ATOMIC_POSITIONS crystal
Tb 0.586 0.341 0.079
Tb 0.586 0.079 0.341
Tb 0.176 0.368 0.368
Tb 0.988 0.224 0.778
Tb 0.988 0.778 0.224
Tb 0.798 0.637 0.637
Tb 0.383 0.929 0.666
Tb 0.383 0.666 0.929
Ir 0.488 0.692 0.316
Ir 0.488 0.316 0.692
Pd 0.134 0.004 0.004
! Crystal system: monoclinic
! Space group: No. 8
! Relative energy among the computed polymorphs, kJ per mole of atoms: 5.63
! E_form, eV/f.u.: -5.0
! E_tot, eV per atom: -5.9011
! Magnetization, μB/f.u.: 0.00

[6]
! Tb7Ir4Pd | Alexandria via LeMat-Bulk | PBE | relaxed; values from VASP
&SYSTEM
  ibrav = 0, nat = 12, ntyp = 3
/
ATOMIC_SPECIES
Tb 158.93 Tb.upf
Ir 192.22 Ir.upf
Pd 106.42 Pd.upf
CELL_PARAMETERS angstrom
5.143 0.000 0.000
2.571 8.086 0.275
2.571 0.647 7.000
ATOMIC_POSITIONS crystal
Tb 0.789 0.869 0.554
Tb 0.211 0.131 0.446
Tb 0.079 0.665 0.177
Tb 0.921 0.335 0.823
Tb 0.338 0.607 0.717
Tb 0.500 0.000 0.000
Tb 0.662 0.393 0.283
Ir 0.570 0.217 0.643
Ir 0.430 0.783 0.357
Ir 0.711 0.654 0.923
Ir 0.289 0.346 0.077
Pd 0.000 0.000 0.000
! Crystal system: monoclinic
! Space group: No. 12
! E_form, eV/f.u.: -7.2
! E_tot, eV per atom: -6.6861
! Magnetization, μB/f.u.: 0.00

[7]
! Tb4Ir3Pd | Alexandria via LeMat-Bulk | PBE | relaxed; values from VASP
&SYSTEM
  ibrav = 0, nat = 16, ntyp = 3
/
ATOMIC_SPECIES
Ir 192.22 Ir.upf
Tb 158.93 Tb.upf
Pd 106.42 Pd.upf
CELL_PARAMETERS angstrom
4.844 0.000 0.000
0.000 7.066 0.000
0.000 0.000 9.690
ATOMIC_POSITIONS crystal
Ir 0.000 0.000 0.000
Ir 0.000 0.000 0.500
Ir 0.500 0.000 0.750
Ir 0.500 0.000 0.250
Ir 0.500 0.500 0.750
Ir 0.500 0.500 0.250
Tb 0.500 0.754 0.000
Tb 0.500 0.754 0.500
Tb 0.500 0.246 0.000
Tb 0.500 0.246 0.500
Tb 0.000 0.754 0.750
Tb 0.000 0.754 0.250
Tb 0.000 0.246 0.250
Tb 0.000 0.246 0.750
Pd 0.000 0.500 0.000
Pd 0.000 0.500 0.500
! Crystal system: tetragonal
! Space group: No. 123
! E_form, eV/f.u.: -6.6
! E_tot, eV per atom: -7.1169
! Magnetization, μB/f.u.: 0.00

[8]
! Tb3Ir2Pd2 | Alexandria via LeMat-Bulk | PBE | relaxed; values from VASP
&SYSTEM
  ibrav = 0, nat = 7, ntyp = 3
/
ATOMIC_SPECIES
Tb 158.93 Tb.upf
Ir 192.22 Ir.upf
Pd 106.42 Pd.upf
CELL_PARAMETERS angstrom
5.136 0.148 -1.143
-3.034 4.161 -1.022
0.138 -2.601 7.693
ATOMIC_POSITIONS crystal
Tb 0.000 0.000 0.000
Tb 0.418 0.988 0.704
Tb 0.582 0.012 0.296
Ir 0.833 0.490 0.154
Ir 0.167 0.510 0.846
Pd 0.255 0.257 0.504
Pd 0.745 0.743 0.496
! Crystal system: triclinic
! Space group: No. 2
! E_form, eV/f.u.: -5.1
! E_tot, eV per atom: -6.7215
! Magnetization, μB/f.u.: 0.00

[9]
! TbThIrPd | Alexandria via LeMat-Bulk | PBE | relaxed; values from VASP
&SYSTEM
  ibrav = 0, nat = 4, ntyp = 4
/
ATOMIC_SPECIES
Ir 192.22 Ir.upf
Tb 158.93 Tb.upf
Pd 106.42 Pd.upf
Th 232.04 Th.upf
CELL_PARAMETERS angstrom
-4.305 -0.749 2.478
-3.137 -3.641 -1.460
-0.582 -4.102 2.840
ATOMIC_POSITIONS crystal
Ir 0.000 0.000 0.000
Tb 0.750 0.750 0.750
Pd 0.500 0.500 0.500
Th 0.250 0.250 0.250
! Crystal system: cubic
! Space group: No. 216
! Relative energy among the computed polymorphs, kJ per mole of atoms: 14.66
! E_form, eV/f.u.: -3.1
! E_tot, eV per atom: -7.3117
! Magnetization, μB/f.u.: 0.00

[10]
! TbThIrPd | Alexandria via LeMat-Bulk | PBE | relaxed; values from VASP
&SYSTEM
  ibrav = 0, nat = 4, ntyp = 4
/
ATOMIC_SPECIES
Tb 158.93 Tb.upf
Th 232.04 Th.upf
Ir 192.22 Ir.upf
Pd 106.42 Pd.upf
CELL_PARAMETERS angstrom
3.874 0.000 0.000
0.000 4.251 0.000
-1.937 0.000 5.636
ATOMIC_POSITIONS crystal
Tb 0.142 0.000 0.284
Th 0.866 0.500 0.732
Ir 0.403 0.000 0.806
Pd 0.590 0.500 0.179
! Crystal system: orthorhombic
! Space group: No. 38
! Relative energy among the computed polymorphs, kJ per mole of atoms: 0.00
! E_form, eV/f.u.: -3.8
! E_tot, eV per atom: -7.4637
! Magnetization, μB/f.u.: 0.00

[11]
! TbTmIrPd | Alexandria via LeMat-Bulk | PBE | relaxed; values from VASP
&SYSTEM
  ibrav = 0, nat = 4, ntyp = 4
/
ATOMIC_SPECIES
Tb 158.93 Tb.upf
Ir 192.22 Ir.upf
Tm 168.93 Tm.upf
Pd 106.42 Pd.upf
CELL_PARAMETERS angstrom
-1.427 -4.662 -0.003
0.882 -2.817 -3.881
3.315 -3.564 0.278
ATOMIC_POSITIONS crystal
Tb 0.750 0.750 0.750
Ir 0.000 0.000 0.000
Tm 0.250 0.250 0.250
Pd 0.500 0.500 0.500
! Crystal system: cubic
! Space group: No. 216
! E_form, eV/f.u.: -3.7
! E_tot, eV per atom: -6.7143
! Magnetization, μB/f.u.: 0.00

[12]
! TbYIrPd | Alexandria via LeMat-Bulk | PBE | relaxed; values from VASP
&SYSTEM
  ibrav = 0, nat = 4, ntyp = 4
/
ATOMIC_SPECIES
Y 88.91 Y.upf
Ir 192.22 Ir.upf
Tb 158.93 Tb.upf
Pd 106.42 Pd.upf
CELL_PARAMETERS angstrom
-4.387 -0.300 -2.196
-0.444 -2.354 -4.292
-2.355 -4.309 -0.207
ATOMIC_POSITIONS crystal
Y 0.750 0.750 0.750
Ir 0.000 0.000 0.000
Tb 0.250 0.250 0.250
Pd 0.500 0.500 0.500
! Crystal system: cubic
! Space group: No. 216
! E_form, eV/f.u.: -3.5
! E_tot, eV per atom: -7.1630
! Magnetization, μB/f.u.: 0.00